! TaCuPb3 (PBE, optimized geometry); values from VASP
&SYSTEM
  ibrav = 0, nat = 5, ntyp = 3
/
ATOMIC_SPECIES
Pb 207.20 Pb.upf
Cu 63.55 Cu.upf
Ta 180.95 Ta.upf
CELL_PARAMETERS angstrom
5.1396 0.0000 0.0000
0.0000 5.1396 0.0000
0.0000 0.0000 5.1396
ATOMIC_POSITIONS crystal
Pb 0.0000 0.0000 0.5000
Cu 0.0000 0.0000 0.0000
Pb 0.0000 0.5000 0.0000
Pb 0.5000 0.0000 0.0000
Ta 0.5000 0.5000 0.5000
! Formation enthalpy at 0 K, eV per atom: 1.11
! D(E_F), states/eV/f.u.: 6.122